# Ce8AgIr6

A relaxed structure of Ce8AgIr6 (PBE, Alexandria via LeMat-Bulk).

Properties
D(E_F) in states/eV per cell: 30.7
Calculated density in Mg/m³: 10.9
Formation energy from the elements in eV per atom: -0.548
Symmetry: P-3
Total magnetization in μB per cell: 1.6

Cell and atoms, written as POSCAR:
```
Ce8AgIr6
1.0
10.1107 0.0000 0.0000
-5.0553 8.7561 0.0000
0.0000 0.0000 4.0955
Ce Ag Ir
8 1 6
Direct
0.0512 0.7340 0.2618
0.2660 0.3172 0.2618
0.3172 0.0512 0.7382
0.3333 0.6667 0.7529
0.6667 0.3333 0.2471
0.6828 0.9488 0.2618
0.7340 0.6828 0.7382
0.9488 0.2660 0.7382
0.0000 0.0000 0.0000
0.0930 0.4713 0.2432
0.3784 0.9070 0.2432
0.4713 0.3784 0.7568
0.5287 0.6216 0.2432
0.6216 0.0930 0.7568
0.9070 0.5287 0.7568
```